[1]
4
Lattice="-0.519 -3.140 -3.077 0.117 -5.093 5.177 -5.562 -2.772 3.765" Properties=species:S:1:pos:R:3 comment="BaSr2Ir PBE relaxed" energy_ev_per_fu=-14.5 de_polymorph_ev_per_fu=0.28 pbc="T T T"
Sr -4.889 -7.062 8.029
Sr -3.278 -4.736 5.385
Ir -4.343 -7.469 5.168
Ba -1.621 -3.536 0.697

[2]
4
Lattice="5.693 -0.099 0.000 0.242 5.689 0.000 -2.968 -2.795 3.975" Properties=species:S:1:pos:R:3 comment="BaSr2Ir PBE relaxed" energy_ev_per_fu=-13.0 de_polymorph_ev_per_fu=1.79 pbc="T T T"
Ba 2.968 2.795 0.000
Ir 2.847 -0.049 1.988
Sr 0.000 0.000 0.000
Sr 0.121 2.845 1.988

[3]
8
Lattice="8.164 -0.696 2.418 -3.388 6.842 3.848 -0.707 0.668 7.848" Properties=species:S:1:pos:R:3 comment="Ba2Sr5Ir PBE relaxed" energy_ev_per_fu=-21.3 pbc="T T T"
Ba -1.813 5.488 7.024
Ba 4.509 2.450 7.066
Sr 2.905 5.210 11.933
Sr 5.958 -0.214 3.625
Sr -1.119 5.834 11.068
Sr 0.890 2.648 9.313
Sr 0.407 2.031 5.658
Ir -2.949 6.245 4.097

Please write out number 3 again, unchanged.
8
Lattice="8.164 -0.696 2.418 -3.388 6.842 3.848 -0.707 0.668 7.848" Properties=species:S:1:pos:R:3 comment="Ba2Sr5Ir PBE relaxed" energy_ev_per_fu=-21.3 pbc="T T T"
Ba -1.813 5.488 7.024
Ba 4.509 2.450 7.066
Sr 2.905 5.210 11.933
Sr 5.958 -0.214 3.625
Sr -1.119 5.834 11.068
Sr 0.890 2.648 9.313
Sr 0.407 2.031 5.658
Ir -2.949 6.245 4.097